# 1
# V3MoRh6 (PBE, relaxed)
# E	-171.124	eV for the cell shown
# volume	281	Å³ per cell
# calculated formation energy	-0.33	eV/atom
data_V3MoRh6
_cell_length_a 7.247
_cell_length_b 4.352
_cell_length_c 9.436
_cell_angle_alpha 90.00
_cell_angle_beta 109.26
_cell_angle_gamma 90.00
_symmetry_space_group_name_H-M 'P 1 21/m 1'
_symmetry_Int_Tables_number 11
_symmetry_space_group_name_Hall '-P 2yb'
loop_
_atom_site_label
_atom_site_type_symbol
_atom_site_fract_x
_atom_site_fract_y
_atom_site_fract_z
_atom_site_occupancy
V1 V 0.084 0.250 0.235 1
V2 V 0.300 0.250 0.033 1
V3 V 0.307 0.750 0.366 1
Mo1 Mo 0.101 0.750 0.568 1
Rh1 Rh 0.093 0.250 0.735 1
Rh2 Rh 0.109 0.750 0.072 1
Rh3 Rh 0.298 0.250 0.528 1
Rh4 Rh 0.304 0.750 0.872 1
Rh5 Rh 0.488 0.250 0.326 1
Rh6 Rh 0.497 0.250 0.831 1

# 2
# TeP2Au (PBE, relaxed)
# E	-14.722	eV for the cell shown
# formation energy (no corrections)	629	meV/atom
# volume	88	Å³ per cell
data_TeP2Au
_cell_length_a 2.885
_cell_length_b 2.885
_cell_length_c 10.595
_cell_angle_alpha 90.00
_cell_angle_beta 90.00
_cell_angle_gamma 90.00
_symmetry_space_group_name_H-M 'P 4/m m m'
_symmetry_Int_Tables_number 123
_symmetry_space_group_name_Hall '-P 4 2'
loop_
_atom_site_label
_atom_site_type_symbol
_atom_site_fract_x
_atom_site_fract_y
_atom_site_fract_z
_atom_site_occupancy
Te1 Te 0.000 0.000 0.000 1
P1 P 0.500 0.500 0.318 1
Au1 Au 0.000 0.000 0.500 1

# 3
# Li3B4C4 (PBE, relaxed)
# E	-143.714	eV for the cell shown
# energy above the lowest structure with this stoichiometry	13	meV/atom
# volume	186	Å³ per cell
# calculated formation energy	-0.23	eV/atom
data_Li3B4C4
_cell_length_a 7.223
_cell_length_b 5.454
_cell_length_c 4.717
_cell_angle_alpha 90.00
_cell_angle_beta 90.02
_cell_angle_gamma 90.00
_symmetry_space_group_name_H-M 'P 1 2/c 1'
_symmetry_Int_Tables_number 13
_symmetry_space_group_name_Hall '-P 2yc'
loop_
_atom_site_label
_atom_site_type_symbol
_atom_site_fract_x
_atom_site_fract_y
_atom_site_fract_z
_atom_site_occupancy
Li1 Li 0.000 0.125 0.250 1
Li2 Li 0.000 0.375 0.750 1
Li3 Li 0.500 0.148 0.250 1
B1 B 0.246 0.377 0.419 1
B2 B 0.247 0.126 0.917 1
C1 C 0.240 0.374 0.085 1
C2 C 0.246 0.125 0.581 1

> The lowest volume belongs to which entry?

TeP2Au